*A*
The following is a GGA-PBE calculation of an optimized crystal structure of Li2HfCu, from the Alexandria database.

a = 5.723 Å, b = 5.723 Å, c = 5.723 Å
α = 102.15°, β = 102.15°, γ = 125.39°
Element x y z (fractional)
Li (0.077, 0.625, 0.952)
Li (0.375, 0.327, 0.452)
Li (0.673, 0.125, 0.048)
Li (0.875, 0.923, 0.548)
Hf (0.250, 0.750, 0.500)
Hf (0.500, 0.500, 0.000)
Cu (0.000, 0.000, 0.000)
Cu (0.750, 0.250, 0.500)

The space-group type is No. 122. For the total magnetic moment, the calculation gives 0.000 μB/atom.

=====

*B*
The following is a GGA-PBE calculation of an optimized crystal structure of Li2HfCu, from the Alexandria database.

a = 4.384 Å, b = 4.384 Å, c = 4.384 Å
α = 60.00°, β = 60.00°, γ = 60.00°
Element x y z (fractional)
Li (0.250, 0.250, 0.250)
Li (0.750, 0.750, 0.750)
Hf (0.000, 0.000, 0.000)
Cu (0.500, 0.500, 0.500)

The space-group type is No. 225. For the total magnetic moment, the calculation gives 0.000 μB/atom.

=====

*C*
The following is a GGA-PBE calculation of an optimized crystal structure of Li2HfCu, from the Alexandria database.

a = 10.032 Å, b = 10.032 Å, c = 10.032 Å
α = 16.30°, β = 16.30°, γ = 16.30°
Element x y z (fractional)
Li (0.097, 0.097, 0.097)
Li (0.903, 0.903, 0.903)
Hf (0.000, 0.000, 0.000)
Cu (0.500, 0.500, 0.500)

The space-group type is No. 166. For the total magnetic moment, the calculation gives 0.000 μB/atom.

=====

Energetically preferred structure: *C* | next structure: +11.5 kJ/mol of atoms

=====

*A*
The following is a GGA-PBE calculation of an optimized crystal structure of LiHfCu4, from the Alexandria database.

a = 2.611 Å, b = 4.291 Å, c = 7.709 Å
α = 90.00°, β = 90.00°, γ = 90.00°
Element x y z (fractional)
Li (0.000, 0.000, 0.000)
Hf (0.500, 0.500, 0.500)
Cu (0.000, 0.500, 0.175)
Cu (0.000, 0.500, 0.825)
Cu (0.500, 0.000, 0.291)
Cu (0.500, 0.000, 0.709)

The space-group type is No. 47. For the total magnetic moment, the calculation gives 0.000 μB/atom.

=====

*B*
The following is a GGA-PBE calculation of an optimized crystal structure of LiHfCu4, from the Alexandria database.

a = 4.915 Å, b = 4.915 Å, c = 4.915 Å
α = 60.00°, β = 60.00°, γ = 60.00°
Element x y z (fractional)
Li (0.000, 0.000, 0.000)
Hf (0.750, 0.750, 0.750)
Cu (0.374, 0.374, 0.374)
Cu (0.374, 0.374, 0.877)
Cu (0.374, 0.877, 0.374)
Cu (0.877, 0.374, 0.374)

The space-group type is No. 216. For the total magnetic moment, the calculation gives 0.000 μB/atom.

=====

Energetically preferred structure: *B* | next structure: +21.4 kJ/mol of atoms

=====

*A*
The following is a GGA-PBE calculation of an optimized crystal structure of Li2HfCu2, from the Alexandria database.

a = 6.796 Å, b = 6.796 Å, c = 6.796 Å
α = 150.20°, β = 150.20°, γ = 42.64°
Element x y z (fractional)
Li (0.250, 0.750, 0.500)
Li (0.750, 0.250, 0.500)
Hf (0.000, 0.000, 0.000)
Cu (0.403, 0.403, 0.000)
Cu (0.597, 0.597, 0.000)

The space-group type is No. 139. For the total magnetic moment, the calculation gives 0.000 μB/atom.

=====

*B*
The following is a GGA-PBE calculation of an optimized crystal structure of Li2HfCu2, from the Alexandria database.

a = 7.271 Å, b = 7.271 Å, c = 2.737 Å
α = 90.00°, β = 90.00°, γ = 90.00°
Element x y z (fractional)
Li (0.113, 0.387, 0.000)
Li (0.387, 0.887, 0.000)
Li (0.613, 0.113, 0.000)
Li (0.887, 0.613, 0.000)
Hf (0.000, 0.000, 0.000)
Hf (0.500, 0.500, 0.000)
Cu (0.189, 0.689, 0.500)
Cu (0.311, 0.189, 0.500)
Cu (0.689, 0.811, 0.500)
Cu (0.811, 0.311, 0.500)

The space-group type is No. 127. For the total magnetic moment, the calculation gives 0.000 μB/atom.

=====

Energetically preferred structure: *A* | next structure: +0.8 kJ/mol of atoms

=====

*A*
The following is a GGA-PBE calculation of an optimized crystal structure of Lu2HfCu, from the Alexandria database.

a = 10.880 Å, b = 10.880 Å, c = 10.880 Å
α = 16.81°, β = 16.81°, γ = 16.81°
Element x y z (fractional)
Lu (0.098, 0.098, 0.098)
Lu (0.902, 0.902, 0.902)
Hf (0.000, 0.000, 0.000)
Cu (0.500, 0.500, 0.500)

The space-group type is No. 166. For the total magnetic moment, the calculation gives 0.000 μB/atom.

=====

*B*
The following is a GGA-PBE calculation of an optimized crystal structure of Lu2HfCu, from the Alexandria database.

a = 3.301 Å, b = 3.301 Å, c = 8.196 Å
α = 90.00°, β = 90.00°, γ = 90.00°
Element x y z (fractional)
Lu (0.000, 0.000, 0.219)
Lu (0.000, 0.000, 0.781)
Hf (0.500, 0.500, 0.500)
Cu (0.500, 0.500, 0.000)

The space-group type is No. 123. For the total magnetic moment, the calculation gives 0.000 μB/atom.

=====

Energetically preferred structure: *B* | next structure: +44.3 kJ/mol of atoms

=====

*A*
The following is a GGA-PBE calculation of an optimized crystal structure of HfMg3Cu, from the Alexandria database.

a = 4.749 Å, b = 4.749 Å, c = 4.749 Å
α = 90.00°, β = 90.00°, γ = 90.00°
Element x y z (fractional)
Hf (0.000, 0.000, 0.000)
Mg (0.000, 0.500, 0.500)
Mg (0.500, 0.000, 0.500)
Mg (0.500, 0.500, 0.000)
Cu (0.500, 0.500, 0.500)

The space-group type is No. 221. For the total magnetic moment, the calculation gives 0.000 μB/atom.

=====

*B*
The following is a GGA-PBE calculation of an optimized crystal structure of HfMg3Cu, from the Alexandria database.

a = 5.612 Å, b = 5.612 Å, c = 5.612 Å
α = 90.00°, β = 90.00°, γ = 90.00°
Element x y z (fractional)
Hf (0.000, 0.000, 0.000)
Mg (0.000, 0.000, 0.500)
Mg (0.000, 0.500, 0.000)
Mg (0.500, 0.000, 0.000)
Cu (0.500, 0.500, 0.500)

The space-group type is No. 221. For the total magnetic moment, the calculation gives 0.312 μB/atom.

=====

Energetically preferred structure: *A* | next structure: +105.7 kJ/mol of atoms

=====

*A*
The following is a GGA-PBE calculation of an optimized crystal structure of HfMg6Cu, from the Alexandria database.

a = 4.875 Å, b = 6.373 Å, c = 6.373 Å
α = 56.79°, β = 90.00°, γ = 90.00°
Element x y z (fractional)
Hf (0.000, 0.000, 0.000)
Mg (0.000, 0.477, 0.477)
Mg (0.000, 0.484, 0.990)
Mg (0.000, 0.990, 0.484)
Mg (0.500, 0.132, 0.646)
Mg (0.500, 0.633, 0.633)
Mg (0.500, 0.646, 0.132)
Cu (0.500, 0.127, 0.127)

The space-group type is No. 38. For the total magnetic moment, the calculation gives 0.000 μB/atom.

=====

*B*
The following is a GGA-PBE calculation of an optimized crystal structure of HfMg6Cu, from the Alexandria database.

a = 4.897 Å, b = 6.426 Å, c = 6.426 Å
α = 54.87°, β = 90.00°, γ = 90.00°
Element x y z (fractional)
Hf (0.000, 0.000, 0.000)
Mg (0.000, 0.498, 0.999)
Mg (0.000, 0.999, 0.498)
Mg (0.500, 0.146, 0.651)
Mg (0.500, 0.152, 0.152)
Mg (0.500, 0.623, 0.623)
Mg (0.500, 0.651, 0.146)
Cu (0.000, 0.468, 0.468)

The space-group type is No. 38. For the total magnetic moment, the calculation gives 0.000 μB/atom.

=====

Energetically preferred structure: *A* | next structure: +1.4 kJ/mol of atoms

=====

*A*
The following is a GGA-PBE calculation of an optimized crystal structure of HfMn2Cu, from the Alexandria database.

a = 4.328 Å, b = 4.328 Å, c = 4.328 Å
α = 60.00°, β = 60.00°, γ = 60.00°
Element x y z (fractional)
Hf (0.000, 0.000, 0.000)
Mn (0.250, 0.250, 0.250)
Mn (0.750, 0.750, 0.750)
Cu (0.500, 0.500, 0.500)

The space-group type is No. 225. For the total magnetic moment, the calculation gives 1.190 μB/atom.

=====

*B*
The following is a GGA-PBE calculation of an optimized crystal structure of HfMn2Cu, from the Alexandria database.

a = 9.267 Å, b = 9.267 Å, c = 9.267 Å
α = 157.01°, β = 157.01°, γ = 32.74°
Element x y z (fractional)
Hf (0.000, 0.000, 0.000)
Hf (0.750, 0.250, 0.500)
Mn (0.215, 0.625, 0.090)
Mn (0.375, 0.465, 0.590)
Mn (0.535, 0.125, 0.910)
Mn (0.875, 0.785, 0.410)
Cu (0.250, 0.750, 0.500)
Cu (0.500, 0.500, 0.000)

The space-group type is No. 122. For the total magnetic moment, the calculation gives 0.496 μB/atom.

=====

Energetically preferred structure: *A* | next structure: +35.4 kJ/mol of atoms

=====

*A*
The following is a GGA-PBE calculation of an optimized crystal structure of HfMn3Cu, from the Alexandria database.

a = 4.720 Å, b = 4.720 Å, c = 4.720 Å
α = 90.00°, β = 90.00°, γ = 90.00°
Element x y z (fractional)
Hf (0.000, 0.000, 0.000)
Mn (0.000, 0.000, 0.500)
Mn (0.000, 0.500, 0.000)
Mn (0.500, 0.000, 0.000)
Cu (0.500, 0.500, 0.500)

The space-group type is No. 221. For the total magnetic moment, the calculation gives 1.855 μB/atom.

=====

*B*
The following is a GGA-PBE calculation of an optimized crystal structure of HfMn3Cu, from the Alexandria database.

a = 4.460 Å, b = 4.460 Å, c = 4.460 Å
α = 90.00°, β = 90.00°, γ = 90.00°
Element x y z (fractional)
Hf (0.000, 0.000, 0.000)
Mn (0.000, 0.500, 0.500)
Mn (0.500, 0.000, 0.500)
Mn (0.500, 0.500, 0.000)
Cu (0.500, 0.500, 0.500)

The space-group type is No. 221. For the total magnetic moment, the calculation gives 1.930 μB/atom.

=====

Energetically preferred structure: *B* | next structure: +69.3 kJ/mol of atoms